The following is a DFT calculation (GGA-PBE) of a relaxed structure of Zn4In2Ga5.

a = 5.3734 Å, b = 6.7071 Å, c = 6.5178 Å
α = 83.82°, β = 100.25°, γ = 68.91°
Last column: nearest neighbours and their distance in Å.
Fractional positions:
Zn: 0.4165 0.1632 0.6055  2 Zn 2.68-2.72, 3 Ga 2.69-2.86, 1 In 2.94
Zn: 0.5835 0.8368 0.3945  2 Zn 2.68-2.72, 3 Ga 2.69-2.86, 1 In 2.94
Zn: 0.6931 0.5229 0.1524  4 Ga 2.71-2.86, 2 Zn 2.72-2.73, 1 In 2.96
Zn: 0.3069 0.4771 0.8476  4 Ga 2.71-2.86, 2 Zn 2.72-2.73, 1 In 2.96
In: 0.1880 0.5986 0.3375  2 Ga 2.90-2.95, 6 Zn 2.94-3.23
In: 0.8120 0.4014 0.6625  2 Ga 2.90-2.95, 6 Zn 2.94-3.23
Ga: 0.7274 0.1113 0.0758  3 Zn 2.71-3.01, 4 Ga 2.74-2.86
Ga: 0.2726 0.8887 0.9242  3 Zn 2.71-3.01, 4 Ga 2.74-2.86
Ga: 0.0000 0.0000 0.5000  4 Ga 2.77-3.03, 2 Zn 2.84, 2 In 2.90
Ga: 0.1960 0.2097 0.1612  4 Zn 2.69-2.86, 3 Ga 2.74-2.86, 1 In 2.95
Ga: 0.8040 0.7903 0.8388  4 Zn 2.69-2.86, 3 Ga 2.74-2.86, 1 In 2.95

Output
For the total magnetization, the calculation gives 0.0 μB per formula unit. The formation enthalpy at 0 K is 4.86 kJ/mol of atoms. Its space group is P-1. For the energy above the most stable polymorph in this dataset, the calculation gives 0 meV/atom. The total energy is -25.153 eV for the cell shown.